PBE Tb6Al2Cd, optimized geometry; electronic total energy = -4.003 eV/atom; formation energy = 0.018 eV per atom
1.0
-0.904 -1.127 4.849
3.141 -6.466 -0.918
5.630 6.798 -0.013
Tb Cd Al
6 1 2
Direct
0.831 0.083 0.663
0.169 0.917 0.337
0.500 0.256 0.000
0.169 0.420 0.337
0.500 0.744 0.000
0.831 0.580 0.663
0.000 0.000 0.000
0.667 0.667 0.334
0.333 0.333 0.666

***

PBE TbAlCd, optimized geometry; electronic total energy = -3.483 eV/atom; formation energy = -0.387 eV per atom
1.0
-2.880 1.940 -0.940
-0.072 -2.141 -4.200
-2.410 -1.825 3.618
Cd Tb Al
1 1 1
Direct
0.167 0.000 0.000
0.667 0.667 0.333
0.166 0.333 0.667

***

PBE TbAlCd2, optimized geometry; electronic total energy = -2.819 eV/atom; formation energy = -0.269 eV per atom
1.0
-3.288 -2.623 -2.159
-1.198 -1.685 3.872
-2.918 3.240 0.508
Cd Al Tb
2 1 1
Direct
0.000 0.000 0.500
0.000 0.500 0.000
0.500 0.000 0.000
0.500 0.500 0.500

***

PBE Tb2Al3Cd, optimized geometry; electronic total energy = -4.003 eV/atom; formation energy = -0.435 eV per atom; offset from the most stable computed form = 0.00 kJ/mol of atoms
1.0
-3.835 2.443 -3.710
-3.253 -1.815 4.536
4.589 6.769 3.171
Tb Al Cd
4 6 2
Direct
0.250 0.750 0.500
0.750 0.750 0.000
0.750 0.250 0.500
0.250 0.250 0.000
0.672 0.164 0.836
0.328 0.836 0.164
0.164 0.164 0.328
0.164 0.672 0.836
0.836 0.836 0.672
0.836 0.328 0.164
0.333 0.333 0.667
0.667 0.667 0.333

***

Among the records above, which one has the lowest formation energy? Tb2Al3Cd